Material: CsBe
Method: DFT, PBE
State: relaxed

Summary:
For the total energy, the calculation gives -0.0573 hartree per atom. The space group is P6_3mc (186). For the energy above the most stable polymorph in this dataset, the calculation gives 90 meV/atom.

Cell lengths 6.3882, 6.3882, 4.3188 Å; angles 90.00, 90.00, 120.00 degrees
Closest atoms and distances in Å follow each position.
Sites, in units of the cell vectors:
Cs1 0.6667 0.3333 0.5629  6 Be 3.83-3.85, 6 Cs 4.27
Be1 0.0000 0.0000 0.3042  2 Be 2.16
Cs2 0.3333 0.6667 0.0629  6 Be 3.83-3.85, 6 Cs 4.27
Be2 0.0000 0.0000 0.8042  2 Be 2.16